AlSn2P | PBE | optimized geometry

Values from the calculation:
The space-group type is R-3m. As for the mass density: 4040 kg/m3. Its formation energy is 0.559 eV/atom. Its excess energy over the best structure of this formula in the dataset is 505.5 meV per atom.

abc: 4.2655 4.2655 8.0898
angles: 74.71 74.71 60.00
Atoms (fractional coordinates):
1 P 0.0000 0.0000 0.0000
2 Sn 0.1048 0.1048 0.6857
3 Sn 0.8952 0.8952 0.3143
4 Al 0.5000 0.5000 0.5000